# Mg3TaI (PBE, relaxed)
data_Mg3TaI
_chemical_formula_sum 'Mg3 Ta1 I1'
_space_group_name_H-M_alt 'P 1'
_space_group_IT_number 1
_space_group_name_Hall 'P 1'
_cell_length_a 5.638
_cell_length_b 5.638
_cell_length_c 5.638
_cell_angle_alpha 90.00
_cell_angle_beta 90.00
_cell_angle_gamma 90.00
loop_
_atom_site_label
_atom_site_type_symbol
_atom_site_fract_x
_atom_site_fract_y
_atom_site_fract_z
Mg1 Mg 0.500 0.000 0.000
Mg2 Mg 0.000 0.500 0.000
Mg3 Mg 0.000 0.000 0.500
Ta1 Ta 0.000 0.000 0.000
I1 I 0.500 0.500 0.500
# calculated volume	35.8	Å³ per atom
# ΔE to the lowest computed polymorph	0.000	eV/atom
# formation energy without anion corrections	5.378	eV/f.u.
# theoretical density	3.527	g/cm³